Material: BHCl2
Method: DFT, SCAN
State: single point on PBEsol structure

Cell: 3.8056 3.8056 6.3503 Å, 72.56 72.56 60.00°
Fractional positions:
Cl1 0.0869 0.0869 0.7392
Cl2 0.9131 0.9131 0.2608
H1 0.0000 0.0000 0.0000
B1 0.5000 0.5000 0.5000

Properties
DOS(E_F) = 0.00 states/eV per cell
Energy = -0.4487 Ry per atom